Record 1
{
  "formula": "AlCdNiMo",
  "functional": "GGA-PBE",
  "state": "relaxed",
  "lattice": [[2.3752, 1.4667, 3.4603], [-1.5277, 3.3578, 2.4816], [-1.4095, -0.7628, 4.1470]],
  "species": ["Al", "Cd", "Mo", "Ni"],
  "frac_coords": [[0.0000, 0.0000, 0.0000], [0.5000, 0.5000, 0.5000], [0.2500, 0.2500, 0.2500], [0.7500, 0.7500, 0.7500]],
  "sg": "No. 216",
  "total_energy_ev_per_atom": -5.016
}


Record 2
{
  "formula": "RbGdPbS3",
  "functional": "GGA-PBE",
  "state": "relaxed",
  "lattice": [[0.9265, 4.5384, 7.7166], [-1.1058, -7.4658, -4.9031], [11.5470, -1.3031, -0.6200]],
  "species": ["Gd", "Gd", "Pb", "Pb", "Rb", "Rb", "S", "S", "S", "S", "S", "S"],
  "frac_coords": [[0.0000, 0.0000, 0.0000], [0.0000, 0.0000, 0.5000], [0.6089, 0.3911, 0.2500], [0.3911, 0.6089, 0.7500], [0.3349, 0.6651, 0.2500], [0.6651, 0.3349, 0.7500], [0.6054, 0.3946, 0.0042], [0.0029, 0.9971, 0.2500], [0.6054, 0.3946, 0.4958], [0.3946, 0.6054, 0.5042], [0.9971, 0.0029, 0.7500], [0.3946, 0.6054, 0.9958]],
  "sg": "No. 63",
  "total_energy_ev_per_atom": -4.883
}


Record 3
{
  "formula": "HfSe2",
  "functional": "GGA-PBE",
  "state": "relaxed",
  "lattice": [[6.5814, 0.0000, 0.0000], [0.0000, 6.5834, 0.0000], [0.0000, 0.0000, 6.5992]],
  "species": ["Hf", "Hf", "Hf", "Hf", "Se", "Se", "Se", "Se", "Se", "Se", "Se", "Se"],
  "frac_coords": [[0.0000, 0.0000, 0.0000], [0.5000, 0.5000, 0.0000], [0.5000, 0.0000, 0.5000], [0.0000, 0.5000, 0.5000], [0.6487, 0.1491, 0.1494], [0.8513, 0.6491, 0.1494], [0.1487, 0.1491, 0.3506], [0.3513, 0.6491, 0.3506], [0.6487, 0.3509, 0.6494], [0.8513, 0.8509, 0.6494], [0.1487, 0.3509, 0.8506], [0.3513, 0.8509, 0.8506]],
  "sg": "No. 61",
  "total_energy_ev_per_atom": -6.665
}